Entry 1:
VASP calculation (PBEsol) on ScBe2Pt after structural relaxation.

Properties
Space-group type   R-3m (166)
Energy above the most stable polymorph in this dataset   50 meV/atom
DFT formation energy   -0.611 eV per atom
M_tot   0.000 μB per formula unit

Structure (CIF):
```
data_ScBe2Pt
_cell_length_a 3.827
_cell_length_b 3.827
_cell_length_c 13.053
_cell_angle_alpha 90.00
_cell_angle_beta 90.00
_cell_angle_gamma 120.00
_symmetry_space_group_name_H-M 'P 1'
_symmetry_Int_Tables_number 1
loop_
_symmetry_equiv_pos_as_xyz
'x,y,z'
loop_
_atom_site_label
_atom_site_type_symbol
_atom_site_fract_x
_atom_site_fract_y
_atom_site_fract_z
Sc1 Sc 0.000 0.000 0.000
Sc2 Sc 0.333 0.667 0.667
Sc3 Sc 0.667 0.333 0.333
Be1 Be 0.000 0.000 0.203
Be2 Be 0.000 0.000 0.797
Be3 Be 0.333 0.667 0.463
Be4 Be 0.333 0.667 0.870
Be5 Be 0.667 0.333 0.130
Be6 Be 0.667 0.333 0.537
Pt1 Pt 0.000 0.000 0.500
Pt2 Pt 0.333 0.667 0.167
Pt3 Pt 0.667 0.333 0.833
```

---

Entry 2:
VASP calculation (PBEsol) on ScBe2Pt after structural relaxation.

Properties
Space-group type   Fm-3m (225)
Energy above the most stable polymorph in this dataset   0 meV/atom
DFT formation energy   -0.661 eV per atom
M_tot   0.000 μB per formula unit

Structure (CIF):
```
data_ScBe2Pt
_cell_length_a 5.818
_cell_length_b 5.818
_cell_length_c 5.818
_cell_angle_alpha 90.00
_cell_angle_beta 90.00
_cell_angle_gamma 90.00
_symmetry_space_group_name_H-M 'P 1'
_symmetry_Int_Tables_number 1
loop_
_symmetry_equiv_pos_as_xyz
'x,y,z'
loop_
_atom_site_label
_atom_site_type_symbol
_atom_site_fract_x
_atom_site_fract_y
_atom_site_fract_z
Sc1 Sc 0.000 0.000 0.000
Sc2 Sc 0.000 0.500 0.500
Sc3 Sc 0.500 0.000 0.500
Sc4 Sc 0.500 0.500 0.000
Be1 Be 0.250 0.250 0.250
Be2 Be 0.250 0.250 0.750
Be3 Be 0.250 0.750 0.250
Be4 Be 0.250 0.750 0.750
Be5 Be 0.750 0.250 0.250
Be6 Be 0.750 0.250 0.750
Be7 Be 0.750 0.750 0.250
Be8 Be 0.750 0.750 0.750
Pt1 Pt 0.000 0.000 0.500
Pt2 Pt 0.000 0.500 0.000
Pt3 Pt 0.500 0.000 0.000
Pt4 Pt 0.500 0.500 0.500
```

---

Entry 3:
VASP calculation (PBEsol) on ScBePt after structural relaxation.

Properties
Space-group type   F-43m (216)
Energy above the most stable polymorph in this dataset   868 meV/atom
DFT formation energy   0.083 eV per atom
M_tot   0.001 μB per formula unit

Structure (CIF):
```
data_ScBePt
_cell_length_a 5.989
_cell_length_b 5.989
_cell_length_c 5.989
_cell_angle_alpha 90.00
_cell_angle_beta 90.00
_cell_angle_gamma 90.00
_symmetry_space_group_name_H-M 'P 1'
_symmetry_Int_Tables_number 1
loop_
_symmetry_equiv_pos_as_xyz
'x,y,z'
loop_
_atom_site_label
_atom_site_type_symbol
_atom_site_fract_x
_atom_site_fract_y
_atom_site_fract_z
Sc1 Sc 0.000 0.000 0.000
Sc2 Sc 0.000 0.500 0.500
Sc3 Sc 0.500 0.000 0.500
Sc4 Sc 0.500 0.500 0.000
Be1 Be 0.250 0.250 0.250
Be2 Be 0.250 0.750 0.750
Be3 Be 0.750 0.250 0.750
Be4 Be 0.750 0.750 0.250
Pt1 Pt 0.250 0.250 0.750
Pt2 Pt 0.250 0.750 0.250
Pt3 Pt 0.750 0.250 0.250
Pt4 Pt 0.750 0.750 0.750
```

---

Entry 4:
VASP calculation (PBEsol) on ScBe2Pt2 after structural relaxation.

Properties
Space-group type   P4/mbm (127)
Energy above the most stable polymorph in this dataset   0 meV/atom
DFT formation energy   -0.824 eV per atom
M_tot   0.005 μB per formula unit

Structure (CIF):
```
data_ScBe2Pt2
_cell_length_a 6.882
_cell_length_b 6.882
_cell_length_c 2.730
_cell_angle_alpha 90.00
_cell_angle_beta 90.00
_cell_angle_gamma 90.00
_symmetry_space_group_name_H-M 'P 1'
_symmetry_Int_Tables_number 1
loop_
_symmetry_equiv_pos_as_xyz
'x,y,z'
loop_
_atom_site_label
_atom_site_type_symbol
_atom_site_fract_x
_atom_site_fract_y
_atom_site_fract_z
Sc1 Sc 0.000 0.000 0.000
Sc2 Sc 0.500 0.500 0.000
Be1 Be 0.115 0.385 0.000
Be2 Be 0.385 0.885 0.000
Be3 Be 0.615 0.115 0.000
Be4 Be 0.885 0.615 0.000
Pt1 Pt 0.177 0.677 0.500
Pt2 Pt 0.323 0.177 0.500
Pt3 Pt 0.677 0.823 0.500
Pt4 Pt 0.823 0.323 0.500
```